Record 1
# Ca2LaAl

Ca2LaAl after structural relaxation (GGA-PBE, Alexandria via LeMat-Bulk).

Summary:
**Density of states at the Fermi level**: 1.44 states/eV/atom
**ΔE_f**: -1.4 kcal/mol of atoms

CIF file:
```
data_Ca2LaAl
_chemical_formula_sum 'Ca4 La2 Al2'
_cell_length_a 3.903
_cell_length_b 5.668
_cell_length_c 11.937
_cell_angle_alpha 90.00
_cell_angle_beta 90.00
_cell_angle_gamma 90.00
_symmetry_space_group_name_H-M 'I m m m'
_symmetry_Int_Tables_number 71
_symmetry_space_group_name_Hall '-I 2 2'
loop_
_atom_site_label
_atom_site_type_symbol
_atom_site_fract_x
_atom_site_fract_y
_atom_site_fract_z
Ca1 Ca 0.000 0.000 0.210
La1 La 0.000 0.500 0.000
Al1 Al 0.000 0.500 0.500
```

***

Record 2
# KTcAg

KTcAg after structural relaxation (GGA-PBE, Alexandria via LeMat-Bulk).

Summary:
**Polymorph energy (0 for the lowest one)**: 2.8 meV per atom
**Density of states at the Fermi level**: 1.30 states/eV/atom
**ΔE_f**: 21.5 kcal/mol of atoms

CIF file:
```
data_KTcAg
_chemical_formula_sum 'K2 Tc2 Ag2'
_cell_length_a 2.753
_cell_length_b 2.753
_cell_length_c 16.133
_cell_angle_alpha 90.00
_cell_angle_beta 90.00
_cell_angle_gamma 90.00
_symmetry_space_group_name_H-M 'I 4 m m'
_symmetry_Int_Tables_number 107
_symmetry_space_group_name_Hall 'I 4 -2'
loop_
_atom_site_label
_atom_site_type_symbol
_atom_site_fract_x
_atom_site_fract_y
_atom_site_fract_z
K1 K 0.000 0.000 0.000
Tc1 Tc 0.000 0.000 0.323
Ag1 Ag 0.000 0.000 0.687
```

***

Record 3
# PaSbRu2

PaSbRu2 after structural relaxation (GGA-PBE, Alexandria via LeMat-Bulk).

Summary:
**Polymorph energy (0 for the lowest one)**: 7.1 meV per atom
**Density of states at the Fermi level**: 0.81 states/eV/atom
**Formation energy (no corrections)**: -34.7 kJ per mole of atoms

CIF file:
```
data_PaSbRu2
_chemical_formula_sum 'Pa1 Sb1 Ru2'
_cell_length_a 4.440
_cell_length_b 4.440
_cell_length_c 3.806
_cell_angle_alpha 90.00
_cell_angle_beta 90.00
_cell_angle_gamma 90.00
_symmetry_space_group_name_H-M 'P 4/m m m'
_symmetry_Int_Tables_number 123
_symmetry_space_group_name_Hall '-P 4 2'
loop_
_atom_site_label
_atom_site_type_symbol
_atom_site_fract_x
_atom_site_fract_y
_atom_site_fract_z
Pa1 Pa 0.000 0.000 0.000
Sb1 Sb 0.500 0.500 0.000
Ru1 Ru 0.000 0.500 0.500
```

***

Record 4
# CuAg2Br2

CuAg2Br2 after structural relaxation (GGA-PBE, Alexandria via LeMat-Bulk).

Summary:
**Polymorph energy (0 for the lowest one)**: 68.0 meV per atom
**Density of states at the Fermi level**: 0.47 states/eV/atom
**Formation energy (no corrections)**: 27.5 kJ per mole of atoms

CIF file:
```
data_CuAg2Br2
_chemical_formula_sum 'Cu2 Ag4 Br4'
_cell_length_a 5.559
_cell_length_b 5.559
_cell_length_c 8.071
_cell_angle_alpha 90.00
_cell_angle_beta 90.00
_cell_angle_gamma 90.00
_symmetry_space_group_name_H-M 'I 4/m m m'
_symmetry_Int_Tables_number 139
_symmetry_space_group_name_Hall '-I 4 2'
loop_
_atom_site_label
_atom_site_type_symbol
_atom_site_fract_x
_atom_site_fract_y
_atom_site_fract_z
Cu1 Cu 0.000 0.000 0.000
Ag1 Ag 0.000 0.000 0.320
Br1 Br 0.000 0.500 0.250
```

***

Record 5
# PrReH5

PrReH5 after structural relaxation (GGA-PBE, Alexandria via LeMat-Bulk).

Summary:
**Density of states at the Fermi level**: 0.35 states/eV/atom

CIF file:
```
data_PrReH5
_chemical_formula_sum 'Pr2 Re2 H10'
_cell_length_a 5.467
_cell_length_b 7.167
_cell_length_c 3.927
_cell_angle_alpha 90.00
_cell_angle_beta 90.00
_cell_angle_gamma 90.00
_symmetry_space_group_name_H-M 'I m m 2'
_symmetry_Int_Tables_number 44
loop_
_symmetry_equiv_pos_as_xyz
'x,y,z'
'-x,-y,z'
'-x,y,z'
'x,-y,z'
'x+1/2,y+1/2,z+1/2'
'-x+1/2,-y+1/2,z+1/2'
'-x+1/2,y+1/2,z+1/2'
'x+1/2,-y+1/2,z+1/2'
loop_
_atom_site_label
_atom_site_type_symbol
_atom_site_fract_x
_atom_site_fract_y
_atom_site_fract_z
Pr1 Pr 0.000 0.000 0.000
Re1 Re 0.000 0.500 0.971
H1 H 0.000 0.294 0.768
H2 H 0.000 0.500 0.464
H3 H 0.187 0.000 0.496
```

***

Record 6
# AlV3Os4

AlV3Os4 after structural relaxation (GGA-PBE, Alexandria via LeMat-Bulk).

Summary:
**Density of states at the Fermi level**: 0.60 states/eV/atom
**ΔE_f**: -8.3 kcal/mol of atoms

CIF file:
```
data_AlV3Os4
_chemical_formula_sum 'Al1 V3 Os4'
_cell_length_a 3.012
_cell_length_b 4.267
_cell_length_c 8.558
_cell_angle_alpha 90.00
_cell_angle_beta 90.00
_cell_angle_gamma 90.00
_symmetry_space_group_name_H-M 'P m m m'
_symmetry_Int_Tables_number 47
loop_
_symmetry_equiv_pos_as_xyz
'x,y,z'
'-x,-y,-z'
'-x,-y,z'
'x,y,-z'
'x,-y,-z'
'-x,y,z'
'-x,y,-z'
'x,-y,z'
loop_
_atom_site_label
_atom_site_type_symbol
_atom_site_fract_x
_atom_site_fract_y
_atom_site_fract_z
Al1 Al 0.000 0.000 0.000
V1 V 0.000 0.000 0.500
V2 V 0.000 0.500 0.249
Os1 Os 0.500 0.000 0.252
Os2 Os 0.500 0.500 0.000
Os3 Os 0.500 0.500 0.500
```

***

Record 7
# Ac5Tl2Ni

Ac5Tl2Ni after structural relaxation (GGA-PBE, Alexandria via LeMat-Bulk).

Summary:
**Polymorph energy (0 for the lowest one)**: 0.0 meV per atom
**Density of states at the Fermi level**: 1.24 states/eV/atom
**ΔE_f**: -5.7 kcal/mol of atoms

CIF file:
```
data_Ac5Tl2Ni
_chemical_formula_sum 'Ac10 Tl4 Ni2'
_cell_length_a 9.083
_cell_length_b 13.013
_cell_length_c 4.943
_cell_angle_alpha 90.00
_cell_angle_beta 90.00
_cell_angle_gamma 90.00
_symmetry_space_group_name_H-M 'P b a m'
_symmetry_Int_Tables_number 55
loop_
_symmetry_equiv_pos_as_xyz
'x,y,z'
'-x,-y,-z'
'-x,-y,z'
'x,y,-z'
'x+1/2,-y+1/2,-z'
'-x+1/2,y+1/2,z'
'-x+1/2,y+1/2,-z'
'x+1/2,-y+1/2,z'
loop_
_atom_site_label
_atom_site_type_symbol
_atom_site_fract_x
_atom_site_fract_y
_atom_site_fract_z
Ac1 Ac 0.000 0.000 0.000
Ac2 Ac 0.140 0.301 0.000
Ac3 Ac 0.176 0.570 0.500
Tl1 Tl 0.075 0.829 0.500
Ni1 Ni 0.000 0.500 0.000
```

***

Record 8
# MgTiCu2Tc

MgTiCu2Tc after structural relaxation (GGA-PBE, Alexandria via LeMat-Bulk).

Summary:
**Density of states at the Fermi level**: 0.58 states/eV/atom
**ΔE_f**: 31.5 kcal/mol of atoms

CIF file:
```
data_MgTiCu2Tc
_chemical_formula_sum 'Mg1 Ti1 Cu2 Tc1'
_cell_length_a 4.207
_cell_length_b 4.207
_cell_length_c 4.787
_cell_angle_alpha 90.00
_cell_angle_beta 90.00
_cell_angle_gamma 90.00
_symmetry_space_group_name_H-M 'P 4/m m m'
_symmetry_Int_Tables_number 123
_symmetry_space_group_name_Hall '-P 4 2'
loop_
_atom_site_label
_atom_site_type_symbol
_atom_site_fract_x
_atom_site_fract_y
_atom_site_fract_z
Mg1 Mg 0.000 0.000 0.000
Ti1 Ti 0.000 0.000 0.500
Cu1 Cu 0.000 0.500 0.000
Tc1 Tc 0.500 0.500 0.500
```

***

Record 9
# CaMnTlFe2

CaMnTlFe2 after structural relaxation (GGA-PBE, Alexandria via LeMat-Bulk).

Summary:
**Density of states at the Fermi level**: 1.88 states/eV/atom
**ΔE_f**: 26.1 kcal/mol of atoms

CIF file:
```
data_CaMnTlFe2
_chemical_formula_sum 'Ca1 Mn1 Tl1 Fe2'
_cell_length_a 5.004
_cell_length_b 5.004
_cell_length_c 5.094
_cell_angle_alpha 90.00
_cell_angle_beta 90.00
_cell_angle_gamma 90.00
_symmetry_space_group_name_H-M 'P 4/m m m'
_symmetry_Int_Tables_number 123
_symmetry_space_group_name_Hall '-P 4 2'
loop_
_atom_site_label
_atom_site_type_symbol
_atom_site_fract_x
_atom_site_fract_y
_atom_site_fract_z
Ca1 Ca 0.000 0.000 0.000
Mn1 Mn 0.500 0.500 0.000
Tl1 Tl 0.500 0.500 0.500
Fe1 Fe 0.000 0.500 0.500
```

***

Record 10
# LiPmTmPd

LiPmTmPd after structural relaxation (GGA-PBE, Alexandria via LeMat-Bulk).

Summary:
**Density of states at the Fermi level**: 0.70 states/eV/atom
**ΔE_f**: -8.9 kcal/mol of atoms

CIF file:
```
data_LiPmTmPd
_chemical_formula_sum 'Li4 Pm4 Tm4 Pd4'
_cell_length_a 7.159
_cell_length_b 7.159
_cell_length_c 7.159
_cell_angle_alpha 90.00
_cell_angle_beta 90.00
_cell_angle_gamma 90.00
_symmetry_space_group_name_H-M 'F -4 3 m'
_symmetry_Int_Tables_number 216
_symmetry_space_group_name_Hall 'F -4 2 3'
loop_
_atom_site_label
_atom_site_type_symbol
_atom_site_fract_x
_atom_site_fract_y
_atom_site_fract_z
Li1 Li 0.000 0.000 0.000
Pm1 Pm 0.250 0.250 0.750
Tm1 Tm 0.250 0.250 0.250
Pd1 Pd 0.000 0.000 0.500
```

***

Record 11
# Pm2SmDy2Mg2

Pm2SmDy2Mg2 after structural relaxation (GGA-PBE, Alexandria via LeMat-Bulk).

Summary:
**Density of states at the Fermi level**: 1.05 states/eV/atom
**ΔE_f**: -0.5 kcal/mol of atoms

CIF file:
```
data_Pm2SmDy2Mg2
_chemical_formula_sum 'Pm6 Sm3 Dy6 Mg6'
_cell_length_a 5.5128
_cell_length_b 5.5128
_cell_length_c 24.3026
_cell_angle_alpha 90.00
_cell_angle_beta 90.00
_cell_angle_gamma 120.00
_symmetry_space_group_name_H-M 'R -3 m'
_symmetry_Int_Tables_number 166
_symmetry_space_group_name_Hall '-R 3 2"'
loop_
_atom_site_label
_atom_site_type_symbol
_atom_site_fract_x
_atom_site_fract_y
_atom_site_fract_z
Pm1 Pm 0.0000 0.0000 0.1566
Sm1 Sm 0.0000 0.0000 0.0000
Dy1 Dy 0.0000 0.0000 0.4271
Mg1 Mg 0.0000 0.0000 0.2904
```

***

Record 12
# PmSc2Ir

PmSc2Ir after structural relaxation (GGA-PBE, Alexandria via LeMat-Bulk).

Summary:
**Polymorph energy (0 for the lowest one)**: 63.5 meV per atom
**Density of states at the Fermi level**: 1.01 states/eV/atom
**ΔE_f**: -11.3 kcal/mol of atoms

CIF file:
```
data_PmSc2Ir
_chemical_formula_sum 'Pm1 Sc2 Ir1'
_cell_length_a 3.276
_cell_length_b 3.276
_cell_length_c 8.476
_cell_angle_alpha 90.00
_cell_angle_beta 90.00
_cell_angle_gamma 90.00
_symmetry_space_group_name_H-M 'P 4/m m m'
_symmetry_Int_Tables_number 123
_symmetry_space_group_name_Hall '-P 4 2'
loop_
_atom_site_label
_atom_site_type_symbol
_atom_site_fract_x
_atom_site_fract_y
_atom_site_fract_z
Pm1 Pm 0.000 0.000 0.000
Sc1 Sc 0.500 0.500 0.314
Ir1 Ir 0.000 0.000 0.500
```

***

| no. | density (g cm⁻³) | magnetization (Bohr magnetons per cell) | DFT total energy (eV per atom) |
| --- | --- | --- | --- |
| 1 | 3.09 | 0.061 | -3.23 |
| 2 | 6.65 | 0.001 | -3.84 |
| 3 | 12.28 | 0.000 | -8.40 |
| 4 | 5.85 | 0.000 | -2.34 |
| 5 | 7.17 | 0.787 | -4.85 |
| 6 | 14.20 | 0.000 | -9.86 |
| 7 | 9.11 | 0.000 | -4.13 |
| 8 | 5.83 | 0.000 | -4.24 |
| 9 | 5.35 | 9.735 | -4.96 |
| 10 | 7.73 | 0.000 | -4.47 |
| 11 | 6.34 | 0.000 | -3.83 |
| 12 | 7.80 | 0.000 | -7.06 |